## CoRh2Au (PBE-GGA)

Data for a relaxed structure of CoRh2Au.

```
4
Lattice="1.377 0.795 8.866 -1.377 0.795 8.866 0.000 -1.590 8.866" Properties=species:S:1:pos:R:3 pbc="T T T"
Co 0.000 0.000 0.000
Rh 0.000 0.000 13.047
Rh 0.000 0.000 19.711
Au 0.000 0.000 6.608
```

Properties
**ΔE to the lowest computed polymorph**: 49.9 meV per atom
**Space group**: R3m, No. 160
**Calculated total energy**: -6.098 eV/atom
**Fermi-level density of states**: 4.49 states/eV/cell
**Theoretical density**: 13.17 g cm⁻³

---

## CoSnRhAu (PBE-GGA)

Data for a relaxed structure of CoSnRhAu.

```
4
Lattice="0.000 3.157 3.157 3.157 0.000 3.157 3.157 3.157 0.000" Properties=species:S:1:pos:R:3 pbc="T T T"
Co 0.000 0.000 0.000
Sn 1.578 1.578 1.578
Rh 3.157 3.157 3.157
Au 4.735 4.735 4.735
```

Properties
**Space group**: F-43m, No. 216
**Calculated total energy**: -5.457 eV/atom
**Fermi-level density of states**: 3.60 states/eV/cell
**Theoretical density**: 12.60 g cm⁻³

---

## SrCo2RhAu (PBE-GGA)

Data for a relaxed structure of SrCo2RhAu.

```
5
Lattice="4.638 0.000 0.000 0.000 4.638 0.000 0.000 0.000 5.618" Properties=species:S:1:pos:R:3 pbc="T T T"
Sr 0.000 0.000 0.000
Co 0.000 2.319 2.809
Co 2.319 0.000 2.809
Rh 0.000 0.000 2.809
Au 2.319 2.319 0.000
```

Properties
**Space group**: P4/mmm, No. 123
**Calculated total energy**: -4.552 eV/atom
**Fermi-level density of states**: 5.23 states/eV/cell
**Theoretical density**: 6.94 g cm⁻³

---

## TaCoRhAu (PBE-GGA)

Data for a relaxed structure of TaCoRhAu.

```
4
Lattice="0.000 3.107 3.107 3.107 0.000 3.107 3.107 3.107 0.000" Properties=species:S:1:pos:R:3 pbc="T T T"
Ta 0.000 0.000 0.000
Co 1.553 1.553 1.553
Rh 4.660 4.660 4.660
Au 3.107 3.107 3.107
```

Properties
**Space group**: F-43m, No. 216
**Calculated total energy**: -7.546 eV/atom
**Fermi-level density of states**: 0.79 states/eV/cell
**Theoretical density**: 14.95 g cm⁻³

---

## ZnCoRhAu (PBE-GGA)

Data for a relaxed structure of ZnCoRhAu.

```
4
Lattice="0.000 3.059 3.059 3.059 0.000 3.059 3.059 3.059 0.000" Properties=species:S:1:pos:R:3 pbc="T T T"
Zn 0.000 0.000 0.000
Co 3.059 3.059 3.059
Rh 1.530 1.530 1.530
Au 4.589 4.589 4.589
```

Properties
**Space group**: F-43m, No. 216
**Calculated total energy**: -4.757 eV/atom
**Fermi-level density of states**: 5.01 states/eV/cell
**Theoretical density**: 12.30 g cm⁻³

---

## Co2RuAu (PBE-GGA)

Data for a relaxed structure of Co2RuAu.

```
4
Lattice="0.000 3.020 3.020 3.020 0.000 3.020 3.020 3.020 0.000" Properties=species:S:1:pos:R:3 pbc="T T T"
Co 1.510 1.510 1.510
Co 4.530 4.530 4.530
Ru 0.000 0.000 0.000
Au 3.020 3.020 3.020
```

Properties
**ΔE to the lowest computed polymorph**: 91.1 meV per atom
**Space group**: Fm-3m, No. 225
**Calculated total energy**: -6.348 eV/atom
**Fermi-level density of states**: 4.92 states/eV/cell
**Theoretical density**: 12.54 g cm⁻³